B5C7 after structural relaxation, computed with PBE-GGA.

**Energy**: -93.76 eV for the cell shown
**Energy of formation**: 0.349 eV/atom
**Total magnetic moment**: 0.00 μB per atom

a = 2.4394 Å, b = 2.5708 Å, c = 12.4589 Å
α = 90.00°, β = 90.00°, γ = 90.00°
Space group Pmm2 (No. 25)
One atom of each set of equivalent atoms:
B 0.0000 0.0000 0.0000 [1 per cell]
B 0.0000 0.0000 0.3171 [1 per cell]
B 0.0000 0.0000 0.6626 [1 per cell]
B 0.5000 0.0000 0.5525 [1 per cell]
B 0.5000 0.5000 0.8299 [1 per cell]
C 0.0000 0.5000 0.0821 [1 per cell]
C 0.0000 0.5000 0.4000 [1 per cell]
C 0.0000 0.5000 0.7393 [1 per cell]
C 0.5000 0.0000 0.2245 [1 per cell]
C 0.5000 0.0000 0.9113 [1 per cell]
C 0.5000 0.5000 0.1552 [1 per cell]
C 0.5000 0.5000 0.4677 [1 per cell]